Entry 1:
DFT (PBE) results for a relaxed structure of Pm2NdTl.

Calculated values
D(E_F): 5.02 states/eV per cell
Formation enthalpy at 0 K: -0.11 eV per atom
ΔE to the lowest computed polymorph: 9.1 kJ/mol of atoms

Cell lengths 11.332, 11.332, 11.332 Å; angles 18.79, 18.79, 18.79 degrees
Fractional coordinates of all 4 atoms:
Pm 0.245 0.245 0.245
Pm 0.755 0.755 0.755
Nd 0.000 0.000 0.000
Tl 0.500 0.500 0.500



Entry 2:
DFT (PBE) results for a relaxed structure of Pm2NdTl.

Calculated values
D(E_F): 5.47 states/eV per cell
Formation enthalpy at 0 K: -0.10 eV per atom
ΔE to the lowest computed polymorph: 9.7 kJ/mol of atoms

Cell lengths 11.187, 11.187, 11.187 Å; angles 19.30, 19.30, 19.30 degrees
Fractional coordinates of all 4 atoms:
Pm 0.000 0.000 0.000
Pm 0.180 0.180 0.180
Nd 0.423 0.423 0.423
Tl 0.590 0.590 0.590



Entry 3:
DFT (PBE) results for a relaxed structure of Pm4NdTl.

Calculated values
D(E_F): 8.08 states/eV per cell
Formation enthalpy at 0 K: -0.11 eV per atom
ΔE to the lowest computed polymorph: 0.0 kJ/mol of atoms

Cell lengths 3.684, 3.684, 14.608 Å; angles 90.00, 90.00, 90.00 degrees
Fractional coordinates of all 6 atoms:
Pm 0.000 0.000 0.147
Pm 0.000 0.000 0.853
Pm 0.500 0.500 0.322
Pm 0.500 0.500 0.678
Nd 0.000 0.000 0.500
Tl 0.500 0.500 0.000



Entry 4:
DFT (PBE) results for a relaxed structure of PmNd2Tl.

Calculated values
D(E_F): 5.70 states/eV per cell
Formation enthalpy at 0 K: -0.10 eV per atom
ΔE to the lowest computed polymorph: 10.2 kJ/mol of atoms

Cell lengths 11.234, 11.234, 11.234 Å; angles 19.26, 19.26, 19.26 degrees
Fractional coordinates of all 4 atoms:
Pm 0.000 0.000 0.000
Nd 0.244 0.244 0.244
Nd 0.423 0.423 0.423
Tl 0.833 0.833 0.833



Entry 5:
DFT (PBE) results for a relaxed structure of PmNd8Tl2.

Calculated values
D(E_F): 14.50 states/eV per cell
Formation enthalpy at 0 K: -0.03 eV per atom
ΔE to the lowest computed polymorph: 7.1 kJ/mol of atoms

Cell lengths 9.010, 9.010, 5.926 Å; angles 102.65, 102.65, 119.80 degrees
Fractional coordinates of all 11 atoms:
Pm 0.000 0.000 0.000
Nd 0.093 0.321 0.620
Nd 0.220 0.780 0.000
Nd 0.321 0.093 0.620
Nd 0.406 0.406 0.205
Nd 0.594 0.594 0.795
Nd 0.679 0.907 0.380
Nd 0.780 0.220 0.000
Nd 0.907 0.679 0.380
Tl 0.306 0.694 0.500
Tl 0.694 0.306 0.500



Entry 6:
DFT (PBE) results for a relaxed structure of Pm5NdTl8.

Calculated values
D(E_F): 13.43 states/eV per cell
Formation enthalpy at 0 K: -0.30 eV per atom

Cell lengths 8.203, 8.203, 8.203 Å; angles 109.59, 109.59, 109.23 degrees
Fractional coordinates of all 14 atoms:
Pm 0.000 0.000 0.000
Pm 0.250 0.626 0.123
Pm 0.374 0.497 0.624
Pm 0.503 0.127 0.877
Pm 0.873 0.750 0.376
Nd 0.750 0.250 0.500
Tl 0.127 0.210 0.751
Tl 0.128 0.712 0.750
Tl 0.288 0.038 0.416
Tl 0.458 0.375 0.249
Tl 0.622 0.872 0.584
Tl 0.625 0.873 0.083
Tl 0.790 0.542 0.917
Tl 0.962 0.378 0.250



Entry 7:
DFT (PBE) results for a relaxed structure of PmNd5Tl2.

Calculated values
D(E_F): 31.12 states/eV per cell
Formation enthalpy at 0 K: -0.06 eV per atom
ΔE to the lowest computed polymorph: 6.2 kJ/mol of atoms

Cell lengths 5.607, 5.607, 20.435 Å; angles 90.00, 90.00, 120.00 degrees
Fractional coordinates of all 16 atoms:
Pm 0.333 0.667 0.250
Pm 0.667 0.333 0.750
Nd 0.000 0.000 0.161
Nd 0.000 0.000 0.339
Nd 0.000 0.000 0.661
Nd 0.000 0.000 0.839
Nd 0.333 0.667 0.564
Nd 0.333 0.667 0.750
Nd 0.333 0.667 0.936
Nd 0.667 0.333 0.064
Nd 0.667 0.333 0.250
Nd 0.667 0.333 0.436
Tl 0.333 0.667 0.093
Tl 0.333 0.667 0.407
Tl 0.667 0.333 0.593
Tl 0.667 0.333 0.907



Entry 8:
DFT (PBE) results for a relaxed structure of Pm5Nd2Tl.

Calculated values
D(E_F): 9.21 states/eV per cell
Formation enthalpy at 0 K: 0.02 eV per atom

Cell lengths 9.202, 9.202, 9.202 Å; angles 157.82, 112.55, 71.98 degrees
Fractional coordinates of all 8 atoms:
Pm 0.000 0.000 0.000
Pm 0.146 0.382 0.765
Pm 0.383 0.618 0.765
Pm 0.617 0.382 0.235
Pm 0.854 0.618 0.235
Nd 0.225 0.225 0.000
Nd 0.775 0.775 0.000
Tl 0.500 0.000 0.500



Entry 9:
DFT (PBE) results for a relaxed structure of Pm4NdTl3.

Calculated values
D(E_F): 20.58 states/eV per cell
Formation enthalpy at 0 K: -0.23 eV per atom

Cell lengths 11.514, 7.103, 5.881 Å; angles 90.00, 90.00, 90.00 degrees
Fractional coordinates of all 16 atoms:
Pm 0.000 0.247 0.000
Pm 0.000 0.753 0.000
Pm 0.250 0.245 0.422
Pm 0.250 0.755 0.422
Pm 0.500 0.247 0.000
Pm 0.500 0.753 0.000
Pm 0.750 0.245 0.578
Pm 0.750 0.755 0.578
Nd 0.000 0.500 0.500
Nd 0.500 0.500 0.500
Tl 0.000 0.000 0.500
Tl 0.250 0.000 0.913
Tl 0.250 0.500 0.909
Tl 0.500 0.000 0.500
Tl 0.750 0.000 0.087
Tl 0.750 0.500 0.091



Entry 10:
DFT (PBE) results for a relaxed structure of Pm7Nd12Tl.

Calculated values
D(E_F): 40.25 states/eV per cell
Formation enthalpy at 0 K: 0.16 eV per atom

Cell lengths 8.950, 8.950, 8.950 Å; angles 89.13, 89.13, 89.13 degrees
Fractional coordinates of all 20 atoms:
Pm 0.000 0.000 0.000
Pm 0.120 0.261 0.715
Pm 0.261 0.715 0.120
Pm 0.285 0.880 0.739
Pm 0.715 0.120 0.261
Pm 0.739 0.285 0.880
Pm 0.880 0.739 0.285
Nd 0.038 0.378 0.158
Nd 0.158 0.038 0.378
Nd 0.163 0.613 0.497
Nd 0.378 0.158 0.038
Nd 0.387 0.503 0.837
Nd 0.497 0.163 0.613
Nd 0.503 0.837 0.387
Nd 0.613 0.497 0.163
Nd 0.622 0.842 0.962
Nd 0.837 0.387 0.503
Nd 0.842 0.962 0.622
Nd 0.962 0.622 0.842
Tl 0.500 0.500 0.500



Entry 11:
DFT (PBE) results for a relaxed structure of Pm3Nd8Tl2.

Calculated values
D(E_F): 18.06 states/eV per cell
Formation enthalpy at 0 K: 0.12 eV per atom

Cell lengths 12.620, 12.620, 12.620 Å; angles 30.40, 30.40, 30.40 degrees
Fractional coordinates of all 13 atoms:
Pm 0.000 0.000 0.000
Pm 0.190 0.190 0.190
Pm 0.810 0.810 0.810
Nd 0.226 0.720 0.720
Nd 0.280 0.280 0.774
Nd 0.280 0.774 0.280
Nd 0.284 0.284 0.284
Nd 0.716 0.716 0.716
Nd 0.720 0.226 0.720
Nd 0.720 0.720 0.226
Nd 0.774 0.280 0.280
Tl 0.369 0.369 0.369
Tl 0.631 0.631 0.631



Entry 12:
DFT (PBE) results for a relaxed structure of Pm8Nd5Tl.

Calculated values
D(E_F): 19.58 states/eV per cell
Formation enthalpy at 0 K: 0.18 eV per atom

Cell lengths 8.610, 8.610, 8.610 Å; angles 109.79, 109.79, 108.84 degrees
Fractional coordinates of all 14 atoms:
Pm 0.086 0.352 0.602
Pm 0.164 0.443 0.105
Pm 0.338 0.059 0.895
Pm 0.517 0.914 0.266
Pm 0.557 0.662 0.721
Pm 0.648 0.251 0.734
Pm 0.749 0.483 0.398
Pm 0.941 0.836 0.279
Nd 0.013 0.706 0.890
Nd 0.294 0.183 0.307
Nd 0.500 0.500 0.000
Nd 0.817 0.123 0.110
Nd 0.877 0.987 0.693
Tl 0.250 0.750 0.500